Computed, not measured: a geometry-optimized FeRe2Ag structure at the PBE level of DFT.

Cell and atoms, written as CIF:
```
data_FeRe2Ag
_chemical_formula_sum 'Fe1 Re2 Ag1'
_cell_length_a 2.750
_cell_length_b 3.912
_cell_length_c 5.579
_cell_angle_alpha 90.00
_cell_angle_beta 90.00
_cell_angle_gamma 90.00
_symmetry_space_group_name_H-M 'P m m 2'
_symmetry_Int_Tables_number 25
loop_
_symmetry_equiv_pos_as_xyz
'x,y,z'
'-x,-y,z'
'-x,y,z'
'x,-y,z'
loop_
_atom_site_label
_atom_site_type_symbol
_atom_site_fract_x
_atom_site_fract_y
_atom_site_fract_z
_atom_site_occupancy
Fe1 Fe 0.000 0.000 0.000 1
Re1 Re 0.000 0.000 0.455 1
Re2 Re 0.500 0.500 0.242 1
Ag1 Ag 0.500 0.500 0.747 1
```

As for the formation energy: 0.41 eV per atom. Its offset from the most stable computed form is 0.52 eV per formula unit. As for the uncorrected energy: -0.3174 Ha/atom. The value obtained for the density of states at the Fermi level is 3.5 states/eV/f.u.



Computed, not measured: a geometry-optimized SnSbAs3 structure at the PBE level of DFT.

Cell and atoms, written as CIF:
```
data_SnSbAs3
_chemical_formula_sum 'Sn1 Sb1 As3'
_cell_length_a 5.266
_cell_length_b 5.266
_cell_length_c 5.266
_cell_angle_alpha 90.00
_cell_angle_beta 90.00
_cell_angle_gamma 90.00
_symmetry_space_group_name_H-M 'P m -3 m'
_symmetry_Int_Tables_number 221
_symmetry_space_group_name_Hall '-P 4 2 3'
loop_
_atom_site_label
_atom_site_type_symbol
_atom_site_fract_x
_atom_site_fract_y
_atom_site_fract_z
_atom_site_occupancy
Sn1 Sn 0.000 0.000 0.000 1
Sb1 Sb 0.500 0.500 0.500 1
As1 As 0.000 0.500 0.500 1
```

Its uncorrected formation energy is 0.787 eV per atom. Its offset from the most stable computed form is 0.00 eV per formula unit. As for the uncorrected energy: -0.1333 Ha/atom. The value obtained for the density of states at the Fermi level is 5.4 states/eV/f.u.